# MgW2Au

Crystalline MgW2Au at its relaxed geometry (GGA-PBE, Alexandria via LeMat-Bulk).

Calculated values
E_form: 0.163 eV per atom
Total energy: -60.26 eV/cell

Lattice parameters (Å, degrees): 3.276 4.484 9.216 90.00 90.00 90.00
Space group Cmm2 (No. 35)
Inequivalent atoms, fractional coordinates:
1 Mg 0.000 0.000 0.000 x2
2 W 0.000 0.000 0.496 x2
3 W 0.000 0.500 0.258 x2
4 Au 0.000 0.500 0.754 x2


# MgWAu2

Crystalline MgWAu2 at its relaxed geometry (GGA-PBE, Alexandria via LeMat-Bulk).

Calculated values
E_form: 0.214 eV per atom
Total energy: -40.49 eV/cell

Lattice parameters (Å, degrees): 2.822 4.950 10.101 90.00 90.00 90.00
Space group Imm2 (No. 44)
Inequivalent atoms, fractional coordinates:
1 Mg 0.000 0.000 0.000 x2
2 W 0.000 0.500 0.760 x2
3 Au 0.000 0.000 0.501 x2
4 Au 0.000 0.500 0.255 x2